Crystalline EuErAgRu at its relaxed geometry, computed with PBE.

Computed properties:
* energy of formation from the pure elements: -0.15 eV per atom
* final energy: -6.89 eV per atom
* total magnetization: 6.8 μB per formula unit

Unit cell a=7.082 b=7.082 c=7.082 alpha=90.00 beta=90.00 gamma=90.00
Space group F-43m (No. 216)
Asymmetric unit:
Eu (0.000, 0.000, 0.000) [4 per cell]
Er (0.000, 0.000, 0.500) [4 per cell]
Ag (0.250, 0.250, 0.250) [4 per cell]
Ru (0.250, 0.250, 0.750) [4 per cell]